Material: LiNbTeN2
Method: DFT, PBEsol
State: optimized geometry

* D(E_F): 0.749 states/eV per atom
* DFT total energy: -6.6096 eV/atom
* formation energy from raw total energies: 0.06 eV per atom

abc: 4.0057 4.0057 5.7557
angles: 90.00 90.00 90.00
Space group P4/mmm (No. 123)
Asymmetric unit:
1 Li 0.0000 0.0000 0.0000 [1 per cell]
2 Nb 0.5000 0.5000 0.5000 [1 per cell]
3 Te 0.5000 0.5000 0.0000 [1 per cell]
4 N 0.0000 0.5000 0.5000 [2 per cell]